Record 1
VASP calculation (SCAN) on a crystal of Ba5Li relaxed with PBEsol.

Values from the calculation:
Its distance to the lowest polymorph of the same formula is 0.000 eV per atom. Its total energy is -33.329 eV per atom.

Cell: 4.3305 4.3305 16.8772 Å, 90.00 90.00 90.00°
With the nearest neighbours (Å) after each atom.
Element x y z (fractional)
Ba1 0.0000 0.0000 0.0000  12 Ba 4.33-4.40
Ba2 0.0000 0.0000 0.3758  4 Li 3.71
Ba3 0.0000 0.0000 0.6242  4 Li 3.71
Ba4 0.5000 0.5000 0.1869  12 Ba 4.33-4.42
Ba5 0.5000 0.5000 0.8131  12 Ba 4.33-4.42
Li1 0.5000 0.5000 0.5000  8 Ba 3.71

***

Record 2
VASP calculation (SCAN) on a crystal of Ba3Li relaxed with PBEsol.

Values from the calculation:
Its total energy is -30.201 eV per atom.

Cell: 7.7339 7.7339 7.7339 Å, 146.71 128.85 62.40°
With the nearest neighbours (Å) after each atom.
Element x y z (fractional)
Ba1 0.0000 0.0000 0.0000  4 Li 4.01, 10 Ba 4.38-4.43
Ba2 0.2858 0.7858 0.5000  2 Li 3.60
Ba3 0.7142 0.2142 0.5000  2 Li 3.60
Li1 0.5000 0.5000 0.0000  8 Ba 3.60-4.01

***

no.,energy of formation (eV per atom)
1,0.028
2,0.059